Material: CaTaIr2
Method: DFT, GGA-PBE
State: relaxed

Output
The calculation puts the excess energy over the best structure of this formula in the dataset at 0.217 eV per atom. The calculation puts the formation energy at -1.06 eV/f.u.

```
data_CaTaIr2
_chemical_formula_sum 'Ca1 Ta1 Ir2'
_space_group_name_H-M_alt 'P 4/m m m'
_space_group_IT_number 123
_space_group_name_Hall '-P 4 2'
_cell_length_a 4.8184
_cell_length_b 4.8184
_cell_length_c 3.0125
_cell_angle_alpha 90.00
_cell_angle_beta 90.00
_cell_angle_gamma 90.00
loop_
_atom_site_label
_atom_site_fract_x
_atom_site_fract_y
_atom_site_fract_z
Ca1 0.0000 0.0000 0.0000
Ta1 0.5000 0.5000 0.0000
Ir1 0.0000 0.5000 0.5000
```

Material: BeFeRu2
Method: DFT, GGA-PBE
State: relaxed

Output
The calculation puts the formation energy at -0.14 eV/f.u.

```
data_BeFeRu2
_chemical_formula_sum 'Be1 Fe1 Ru2'
_space_group_name_H-M_alt 'P 4/m m m'
_space_group_IT_number 123
_space_group_name_Hall '-P 4 2'
_cell_length_a 4.0632
_cell_length_b 4.0632
_cell_length_c 2.9099
_cell_angle_alpha 90.00
_cell_angle_beta 90.00
_cell_angle_gamma 90.00
loop_
_atom_site_label
_atom_site_fract_x
_atom_site_fract_y
_atom_site_fract_z
Be1 0.0000 0.0000 0.0000
Fe1 0.5000 0.5000 0.0000
Ru1 0.0000 0.5000 0.5000
```

Number 1: D(E_F) 0.84 states/eV per atom. Number 2: D(E_F) 0.91 states/eV per atom.